(1)
The following is a GGA-PBE calculation of a geometry-optimized Mn5ZnRh6 structure, from the Alexandria database.

Results
* total energy: -7.82 eV per atom
* calculated density: 9541 kg/m³
* density of states at the Fermi level: 12.46 states/eV per cell
* SG: Immm (71)

Unit cell a=7.4243 b=7.4243 c=7.4243 alpha=146.41 beta=132.03 gamma=59.83
With the nearest neighbours (Å) after each atom.
Fractional positions:
Mn 0.0000 0.0000 0.0000  8 Rh 2.61-2.64
Mn 0.1664 0.6664 0.5000  8 Rh 2.60-2.62
Mn 0.3363 0.3363 0.0000  8 Rh 2.61-2.63
Mn 0.6637 0.6637 0.0000  8 Rh 2.61-2.63
Mn 0.8336 0.3336 0.5000  8 Rh 2.60-2.62
Zn 0.5000 0.0000 0.5000  8 Rh 2.64-2.65
Rh 0.0795 0.8314 0.2481  7 Mn 2.61-2.64, 1 Zn 2.65
Rh 0.2453 0.5000 0.7453  6 Mn 2.60-2.61, 2 Zn 2.64
Rh 0.4167 0.1686 0.2481  7 Mn 2.61-2.64, 1 Zn 2.65
Rh 0.5833 0.8314 0.7519  7 Mn 2.61-2.64, 1 Zn 2.65
Rh 0.7547 0.5000 0.2547  6 Mn 2.60-2.61, 2 Zn 2.64
Rh 0.9205 0.1686 0.7519  7 Mn 2.61-2.64, 1 Zn 2.65

=====

(2)
The following is a GGA-PBE calculation of a geometry-optimized MnZn2Rh structure, from the Alexandria database.

Results
* total energy: -4.30 eV per atom
* calculated density: 8310 kg/m³
* density of states at the Fermi level: 14.06 states/eV per cell
* SG: I-42d (122)

Unit cell a=5.4197 b=5.4197 c=5.4197 alpha=102.17 beta=102.17 gamma=125.34
With the nearest neighbours (Å) after each atom.
Fractional positions:
Mn 0.0000 0.0000 0.0000  4 Zn 2.45, 2 Rh 2.49
Mn 0.7500 0.2500 0.5000  4 Zn 2.45, 2 Rh 2.49
Zn 0.1181 0.6250 0.9931  2 Mn 2.45, 2 Zn 2.49, 2 Rh 2.52
Zn 0.3750 0.3681 0.4931  2 Mn 2.45, 2 Zn 2.49, 2 Rh 2.52
Zn 0.6319 0.1250 0.0069  2 Mn 2.45, 2 Zn 2.49, 2 Rh 2.52
Zn 0.8750 0.8819 0.5069  2 Mn 2.45, 2 Zn 2.49, 2 Rh 2.52
Rh 0.2500 0.7500 0.5000  2 Mn 2.49, 4 Zn 2.52
Rh 0.5000 0.5000 0.0000  2 Mn 2.49, 4 Zn 2.52

=====

(3)
The following is a GGA-PBE calculation of a geometry-optimized Mn3ZnRh structure, from the Alexandria database.

Results
* total energy: -6.31 eV per atom
* calculated density: 4990 kg/m³
* density of states at the Fermi level: 3.29 states/eV per cell
* energy above the lowest structure with this stoichiometry: 0.0 kJ/mol of atoms
* SG: Pm-3m (221)

Unit cell a=4.8039 b=4.8039 c=4.8039 alpha=90.00 beta=90.00 gamma=90.00
With the nearest neighbours (Å) after each atom.
Fractional positions:
Mn 0.0000 0.0000 0.5000  2 Rh 2.40
Mn 0.0000 0.5000 0.0000  2 Rh 2.40
Mn 0.5000 0.0000 0.0000  2 Rh 2.40
Zn 0.5000 0.5000 0.5000  12 Mn 3.40
Rh 0.0000 0.0000 0.0000  6 Mn 2.40

=====

(4)
The following is a GGA-PBE calculation of a geometry-optimized MnZn2Rh3 structure, from the Alexandria database.

Results
* total energy: -5.96 eV per atom
* calculated density: 9957 kg/m³
* density of states at the Fermi level: 11.04 states/eV per cell
* SG: Cmmm (65)

Unit cell a=6.7633 b=6.7633 c=6.0117 alpha=90.00 beta=90.00 gamma=143.15
With the nearest neighbours (Å) after each atom.
Fractional positions:
Mn 0.1644 0.8356 0.0000  8 Rh 2.59-2.60
Mn 0.8356 0.1644 0.0000  8 Rh 2.59-2.60
Zn 0.1669 0.8331 0.5000  8 Rh 2.61-2.63
Zn 0.5000 0.5000 0.0000  8 Rh 2.62
Zn 0.5000 0.5000 0.5000  8 Rh 2.61-2.65
Zn 0.8331 0.1669 0.5000  8 Rh 2.61-2.63
Rh 0.0000 0.0000 0.2507  2 Mn 2.59, 6 Zn 2.61-2.62
Rh 0.0000 0.0000 0.7493  2 Mn 2.59, 6 Zn 2.61-2.62
Rh 0.3312 0.6688 0.2455  3 Mn 2.60, 5 Zn 2.61-2.65
Rh 0.3312 0.6688 0.7545  3 Mn 2.60, 5 Zn 2.61-2.65
Rh 0.6688 0.3312 0.2455  3 Mn 2.60, 5 Zn 2.61-2.65
Rh 0.6688 0.3312 0.7545  3 Mn 2.60, 5 Zn 2.61-2.65

=====

(5)
The following is a GGA-PBE calculation of a geometry-optimized MnZn6Rh5 structure, from the Alexandria database.

Results
* total energy: -4.83 eV per atom
* calculated density: 9563 kg/m³
* density of states at the Fermi level: 4.78 states/eV per cell
* SG: Immm (71)

Unit cell a=7.4191 b=7.4191 c=7.4191 alpha=146.66 beta=131.31 gamma=60.29
With the nearest neighbours (Å) after each atom.
Fractional positions:
Mn 0.0000 0.0000 0.0000  8 Zn 2.67-2.71, 4 Rh 2.91
Zn 0.0849 0.8283 0.2566  7 Rh 2.59-2.68, 1 Mn 2.71
Zn 0.2648 0.5000 0.7648  6 Rh 2.56-2.58, 2 Mn 2.67
Zn 0.4284 0.1717 0.2566  7 Rh 2.59-2.68, 1 Mn 2.71
Zn 0.5716 0.8283 0.7434  7 Rh 2.59-2.68, 1 Mn 2.71
Zn 0.7352 0.5000 0.2352  6 Rh 2.56-2.58, 2 Mn 2.67
Zn 0.9151 0.1717 0.7434  7 Rh 2.59-2.68, 1 Mn 2.71
Rh 0.1548 0.6548 0.5000  8 Zn 2.56-2.68
Rh 0.3328 0.3328 0.0000  8 Zn 2.58-2.60
Rh 0.5000 0.0000 0.5000  8 Zn 2.57-2.66
Rh 0.6672 0.6672 0.0000  8 Zn 2.58-2.60
Rh 0.8452 0.3452 0.5000  8 Zn 2.56-2.68

=====

(6)
The following is a GGA-PBE calculation of a geometry-optimized MnZn2Rh structure, from the Alexandria database.

Results
* total energy: -5.03 eV per atom
* calculated density: 8545 kg/m³
* density of states at the Fermi level: 1.31 states/eV per cell
* SG: I4/mmm (139)

Unit cell a=4.6673 b=4.6673 c=4.6673 alpha=131.34 beta=131.34 gamma=71.27
With the nearest neighbours (Å) after each atom.
Fractional positions:
Mn 0.0000 0.0000 0.0000  8 Zn 2.70, 4 Rh 2.72
Zn 0.2500 0.7500 0.5000  4 Mn 2.70, 4 Rh 2.70, 4 Zn 2.72
Zn 0.7500 0.2500 0.5000  4 Mn 2.70, 4 Rh 2.70, 4 Zn 2.72
Rh 0.5000 0.5000 0.0000  8 Zn 2.70, 4 Mn 2.72